Entry from the Alexandria database: HgBi3Ru after structural relaxation (PBE). Values from VASP.

The structure in Quantum ESPRESSO input format:
```
&SYSTEM
  ibrav = 0, nat = 5, ntyp = 3
/
ATOMIC_SPECIES
Bi 208.98 Bi.upf
Hg 200.59 Hg.upf
Ru 101.07 Ru.upf
ATOMIC_POSITIONS angstrom
Bi -1.156 0.838 2.251
Bi 1.577 -1.619 1.413
Bi -1.811 -1.945 -0.207
Hg -1.390 -2.726 3.457
Ru 0.000 0.000 0.000
CELL_PARAMETERS angstrom
-2.313 1.676 4.501
-3.622 -3.890 -0.413
3.155 -3.237 2.826
```

Computed properties:
* size of the total moment: 0.00 μB per cell
* electronic total energy: -3.8413 eV/atom
* formation energy: 0.403 eV/atom
* energy above the most stable polymorph in this dataset: 0 meV per atom